Entry from Alexandria: an optimized crystal structure of KVTc2O (GGA+U).

extended XYZ file:
```
5
Lattice="4.264 0.000 0.000 0.000 4.264 0.000 0.000 0.000 4.222" Properties=species:S:1:pos:R:3 pbc="T T T"
K 0.000 0.000 0.000
V 2.132 2.132 0.000
Tc 0.000 2.132 2.111
Tc 2.132 0.000 2.111
O 2.132 2.132 2.111
```

Summary:
Space-group type: P4/mmm
Density in g/cm3: 6.5
Size of the total moment in μB/atom: 0.004
DFT total energy in eV/cell: -28.82


Entry from Alexandria: an optimized crystal structure of TmTaCr2O6 (GGA+U).

extended XYZ file:
```
10
Lattice="2.665 1.539 4.756 -2.665 1.539 4.756 0.000 -3.077 4.756" Properties=species:S:1:pos:R:3 pbc="T T T"
Tm 0.000 0.000 0.000
Ta 0.000 0.000 7.031
Cr 0.000 0.000 4.340
Cr 0.000 0.000 11.475
O -1.584 -0.086 5.697
O -0.931 -1.506 7.984
O 0.867 -1.329 5.697
O -0.839 1.559 7.984
O 0.718 1.415 5.697
O 1.769 -0.053 7.984
```

Summary:
Space-group type: R3
Density in g/cm3: 7.8
Size of the total moment in μB/atom: 0.400
DFT total energy in eV/cell: -84.31